No. 1
First-principles (PBE) data for Na2Ce2CoS6 after structural relaxation, as listed in Alexandria.

SG: C2/m
Energy relative to the elements, uncorrected in eV per atom: -1.26

Lattice parameters (Å, degrees): 6.6106 6.6106 7.0968 98.84 98.84 119.01
Site moments in Bohr magnetons follow the coordinates.
Atoms (fractional coordinates):
Ce 0.6678 0.3322 0.5000  0.20
Ce 0.3322 0.6678 0.5000  0.20
Co 0.0000 0.0000 0.5000  0.81
S 0.9263 0.6180 0.2831  0.00
S 0.2152 0.2152 0.2982  -0.02
S 0.3820 0.0737 0.7169  0.00
S 0.7848 0.7848 0.7018  -0.02
S 0.0737 0.3820 0.7169  0.00
S 0.6180 0.9263 0.2831  0.00
Na 0.1672 0.8328 0.0000  0.00
Na 0.8328 0.1672 0.0000  0.00

No. 2
First-principles (PBE) data for BeSn after structural relaxation, as listed in Alexandria.

ΔE to the lowest computed polymorph in eV per atom: 0.271
SG: C2/m
DFT formation energy in eV/atom: 0.496

Lattice parameters (Å, degrees): 3.4405 3.4390 4.0965 115.07 115.08 59.09
Atoms (fractional coordinates):
Sn 0.6946 0.3542 0.8008
Be 0.1949 0.8542 0.3006

No. 3
First-principles (PBE) data for HfMgOsRu after structural relaxation, as listed in Alexandria.

SG: F-43m
DFT formation energy in eV/atom: -0.248

Lattice parameters (Å, degrees): 4.5061 4.5061 4.5061 60.00 60.00 60.00
Atoms (fractional coordinates):
Ru 0.7500 0.7500 0.7500
Hf 0.5000 0.5000 0.5000
Os 0.2500 0.2500 0.2500
Mg 0.0000 0.0000 0.0000

No. 4
First-principles (PBE) data for BaICl2 after structural relaxation, as listed in Alexandria.

ΔE to the lowest computed polymorph in eV per atom: 0.094
SG: Fm-3m
Energy relative to the elements, uncorrected in eV per atom: -1.47

Lattice parameters (Å, degrees): 5.6324 5.6324 5.6324 60.00 60.00 60.00
Site moments in Bohr magnetons follow the coordinates.
Atoms (fractional coordinates):
I 0.0000 0.0000 0.0000  0.43
Ba 0.5000 0.5000 0.5000  0.00
Cl 0.7500 0.7500 0.7500  0.13
Cl 0.2500 0.2500 0.2500  0.13

No. 5
First-principles (PBE) data for NbAl3Si after structural relaxation, as listed in Alexandria.

ΔE to the lowest computed polymorph in eV per atom: 0.129
SG: Pm-3m
Energy relative to the elements, uncorrected in eV per atom: 1.06

Lattice parameters (Å, degrees): 4.9783 4.9783 4.9783 90.00 90.00 90.00
Atoms (fractional coordinates):
Al 0.0000 0.5000 0.0000
Al 0.5000 0.0000 0.0000
Al 0.0000 0.0000 0.5000
Nb 0.0000 0.0000 0.0000
Si 0.5000 0.5000 0.5000

No. 6
First-principles (PBE) data for CoGeAsPt after structural relaxation, as listed in Alexandria.

ΔE to the lowest computed polymorph in eV per atom: 0.127
SG: Cm
DFT formation energy in eV/atom: -0.188

Lattice parameters (Å, degrees): 6.8595 3.5013 5.8792 90.00 106.88 90.00
Atoms (fractional coordinates):
Co 0.8837 0.0000 0.2378
Co 0.8837 0.5000 0.7378
As 0.0767 0.5000 0.4669
As 0.0767 0.0000 0.9669
Ge 0.6702 0.0000 0.5056
Ge 0.6702 0.5000 0.0056
Pt 0.4527 0.0000 0.0936
Pt 0.4527 0.5000 0.5936